Na2MoF7 | Alexandria | PBE with a Hubbard U | relaxed; total magnetization = 2.0 μB/cell; DFT total energy = -48.74 eV per formula unit
1.0
6.296 -3.157 0.000
6.296 3.157 0.000
-5.300 0.000 7.029
Na Mo F
4 2 14
Direct
0.107 0.276 0.289
0.276 0.107 0.789
0.724 0.893 0.211
0.893 0.724 0.711
0.368 0.632 0.250
0.632 0.368 0.750
0.052 0.948 0.250
0.126 0.554 0.234
0.231 0.601 0.979
0.262 0.501 0.631
0.399 0.769 0.521
0.446 0.874 0.266
0.499 0.738 0.869
0.501 0.262 0.131
0.554 0.126 0.734
0.601 0.231 0.479
0.738 0.499 0.369
0.769 0.399 0.021
0.874 0.446 0.766
0.948 0.052 0.750